# 1
! Na3Cu2As4 GGA-PBE optimized geometry; values from VASP
&SYSTEM
  ibrav = 0, nat = 9, ntyp = 3
/
ATOMIC_SPECIES
Na 22.99 Na.upf
As 74.92 As.upf
Cu 63.55 Cu.upf
CELL_PARAMETERS angstrom
-2.124 1.592 3.177
-0.398 -3.906 4.388
6.757 1.905 3.558
ATOMIC_POSITIONS angstrom
Na 3.223 -0.820 7.958
Na 0.000 0.000 0.000
Na 1.013 0.411 3.165
As 1.986 1.871 5.786
As -1.220 -1.039 5.101
As 2.250 -2.280 5.337
As 5.455 0.630 6.022
Cu 0.931 -0.332 6.175
Cu 3.305 -0.077 4.948
! Relative energy among the computed polymorphs (meV per atom): 0
! ΔH_f (0 K) (eV/atom): -0.26
! Magnetic moment (μB/f.u.): 0.00

---

# 2
! NaCu4As3 GGA-PBE optimized geometry; values from VASP
&SYSTEM
  ibrav = 0, nat = 8, ntyp = 3
/
ATOMIC_SPECIES
As 74.92 As.upf
Cu 63.55 Cu.upf
Na 22.99 Na.upf
CELL_PARAMETERS angstrom
-3.257 -2.474 -0.777
1.740 -3.010 2.292
-3.630 2.771 6.396
ATOMIC_POSITIONS angstrom
As -1.999 -1.795 2.943
As 0.000 0.000 0.000
As -3.149 -0.917 4.968
Cu -2.273 -0.746 0.746
Cu 0.226 -1.013 2.280
Cu -2.116 0.775 6.407
Cu -4.615 1.043 4.873
Na -1.815 1.386 3.198
! ΔH_f (0 K) (eV/atom): -0.11
! Magnetic moment (μB/f.u.): 0.00

---

# 3
! NaCuAs2 GGA-PBE optimized geometry; values from VASP
&SYSTEM
  ibrav = 0, nat = 8, ntyp = 3
/
ATOMIC_SPECIES
Na 22.99 Na.upf
As 74.92 As.upf
Cu 63.55 Cu.upf
CELL_PARAMETERS angstrom
4.656 0.000 0.000
0.000 4.656 0.000
2.328 2.328 8.162
ATOMIC_POSITIONS angstrom
Na 2.328 2.328 0.000
Na 2.328 4.656 4.081
As 4.006 1.164 2.041
As 3.492 2.978 6.122
As 5.820 6.334 6.122
As 0.650 3.492 2.041
Cu 0.000 0.000 0.000
Cu 4.656 2.328 4.081
! Relative energy among the computed polymorphs (meV per atom): 172
! ΔH_f (0 K) (eV/atom): -0.03
! Magnetic moment (μB/f.u.): 0.00

---

# 4
! Na2Cu6As3 GGA-PBE optimized geometry; values from VASP
&SYSTEM
  ibrav = 0, nat = 11, ntyp = 3
/
ATOMIC_SPECIES
Cu 63.55 Cu.upf
As 74.92 As.upf
Na 22.99 Na.upf
CELL_PARAMETERS angstrom
4.096 0.000 0.000
0.000 7.272 0.000
0.000 -3.636 6.298
ATOMIC_POSITIONS angstrom
Cu 2.048 2.097 0.000
Cu 0.000 0.719 1.245
Cu 0.000 -2.917 5.053
Cu 2.048 2.588 4.482
Cu 0.000 5.835 0.000
Cu 2.048 -1.048 1.816
As 2.048 4.599 0.000
As 2.048 1.336 2.315
As 2.048 -2.300 3.983
Na 0.000 0.000 4.198
Na 0.000 3.636 2.099
! ΔH_f (0 K) (eV/atom): -0.11
! Magnetic moment (μB/f.u.): 0.00

---

# 5
! Na3Cu2As2 GGA-PBE optimized geometry; values from VASP
&SYSTEM
  ibrav = 0, nat = 28, ntyp = 3
/
ATOMIC_SPECIES
Cu 63.55 Cu.upf
Na 22.99 Na.upf
As 74.92 As.upf
CELL_PARAMETERS angstrom
-4.887 2.334 -1.289
-2.616 -7.124 -2.985
-4.537 -3.149 11.494
ATOMIC_POSITIONS angstrom
Cu -4.888 -6.301 -2.425
Cu -7.453 -5.681 8.418
Cu -4.587 -2.258 -1.198
Cu -5.673 -0.612 5.899
Cu -5.974 -4.655 4.672
Cu -7.152 -1.638 9.645
Cu -6.066 -3.285 2.549
Cu -6.367 -7.328 1.322
Na -8.548 -5.945 5.608
Na -4.007 -5.515 2.409
Na -5.611 -3.161 7.530
Na -3.492 -1.995 1.612
Na -9.293 -3.300 8.003
Na -5.589 -7.779 4.309
Na -8.033 -2.425 4.811
Na -5.190 0.714 -0.281
Na -6.849 -8.654 7.501
Na -2.747 -4.640 -0.783
Na -6.450 -0.160 2.912
Na -6.429 -4.779 -0.310
As -2.561 -0.870 -1.249
As -5.796 -5.958 6.691
As -7.549 -0.934 7.375
As -7.210 -5.495 2.723
As -4.941 -3.920 -3.025
As -4.491 -7.006 -0.155
As -4.830 -2.445 4.498
As -6.243 -1.981 0.530
! ΔH_f (0 K) (eV/atom): -0.28
! Magnetic moment (μB/f.u.): 0.00

---

# 6
! Na2CuNi3As4 GGA-PBE optimized geometry; values from VASP
&SYSTEM
  ibrav = 0, nat = 10, ntyp = 4
/
ATOMIC_SPECIES
Ni 58.69 Ni.upf
As 74.92 As.upf
Na 22.99 Na.upf
Cu 63.55 Cu.upf
CELL_PARAMETERS angstrom
4.163 0.000 0.000
0.000 4.163 0.000
0.000 0.000 9.668
ATOMIC_POSITIONS angstrom
Ni 0.000 0.000 4.834
Ni 2.081 0.000 8.475
Ni 0.000 2.081 1.194
As 0.000 0.000 0.000
As 2.081 2.081 0.000
As 2.081 0.000 6.130
As 0.000 2.081 3.538
Na 0.000 2.081 7.194
Na 2.081 0.000 2.474
Cu 2.081 2.081 4.834
! ΔH_f (0 K) (eV/atom): -0.28
! Magnetic moment (μB/f.u.): 0.00

---

# 7
! Na2NpCuAs2 GGA-PBE optimized geometry; values from VASP
&SYSTEM
  ibrav = 0, nat = 12, ntyp = 4
/
ATOMIC_SPECIES
Na 22.99 Na.upf
As 74.92 As.upf
Np 237.00 Np.upf
Cu 63.55 Cu.upf
CELL_PARAMETERS angstrom
-0.974 -1.775 3.824
4.282 -5.393 -1.413
6.396 4.147 3.554
ATOMIC_POSITIONS angstrom
Na 2.425 -1.250 0.037
Na 0.150 -0.602 2.207
Na 7.547 0.109 4.420
Na 9.071 -1.026 1.833
As 4.433 -3.237 -0.374
As 6.229 2.012 2.520
As 6.766 -2.534 2.995
As 3.171 -0.780 2.893
Np 5.576 -0.485 1.194
Np 2.978 1.915 1.647
Cu 4.358 -3.115 2.111
Cu 4.552 1.095 4.115
! ΔH_f (0 K) (eV/atom): -0.40
! Magnetic moment (μB/f.u.): 3.97

---

# 8
! NaCu2AsO4 GGA-PBE optimized geometry; values from VASP
&SYSTEM
  ibrav = 0, nat = 8, ntyp = 4
/
ATOMIC_SPECIES
Cu 63.55 Cu.upf
Na 22.99 Na.upf
O 16.00 O.upf
As 74.92 As.upf
CELL_PARAMETERS angstrom
-2.243 3.796 2.625
-4.497 -1.312 -2.094
2.696 -3.713 2.730
ATOMIC_POSITIONS angstrom
Cu -2.607 -1.968 0.545
Cu -1.480 0.585 2.904
Na -0.008 -0.031 0.037
O 0.848 -2.288 2.071
O -3.091 1.648 1.913
O -1.828 -1.302 2.282
O -3.975 -0.354 0.063
As -0.668 -2.446 2.966
! Formation energy without anion corrections (eV/atom): -0.98
! Magnetic moment (μB/f.u.): 0.00

---

# 9
! NaCuAs2O6 GGA-PBE optimized geometry; values from VASP
&SYSTEM
  ibrav = 0, nat = 20, ntyp = 4
/
ATOMIC_SPECIES
As 74.92 As.upf
O 16.00 O.upf
Na 22.99 Na.upf
Cu 63.55 Cu.upf
CELL_PARAMETERS angstrom
-3.601 3.614 2.077
-6.503 -3.372 -0.703
-0.341 -1.741 7.142
ATOMIC_POSITIONS angstrom
As -7.105 -0.599 6.853
As -6.390 -2.693 4.433
As -3.339 -0.899 1.663
As -4.054 1.195 4.083
O -4.386 -0.208 2.984
O -6.063 0.467 7.665
O -3.288 2.445 3.245
O -4.381 -1.965 0.851
O -3.343 0.593 5.502
O -6.058 -1.291 5.532
O -7.849 -1.843 7.720
O -7.101 -2.092 3.014
O -2.596 0.345 0.796
O -4.735 -3.224 3.886
O -5.709 1.726 4.630
O -7.157 -3.944 5.270
Na -6.772 -2.301 0.619
Na -3.672 0.803 7.897
Cu -2.752 -1.237 5.737
Cu -7.692 -0.261 2.779
! Formation energy without anion corrections (eV/atom): -1.16
! Magnetic moment (μB/f.u.): 0.07

---

# 10
! NaCu4As3O12 GGA-PBE optimized geometry; values from VASP
&SYSTEM
  ibrav = 0, nat = 40, ntyp = 4
/
ATOMIC_SPECIES
O 16.00 O.upf
As 74.92 As.upf
Cu 63.55 Cu.upf
Na 22.99 Na.upf
CELL_PARAMETERS angstrom
-4.472 7.136 2.376
0.744 -2.545 8.339
4.580 4.775 3.746
ATOMIC_POSITIONS angstrom
O -2.806 6.139 7.305
O 1.068 6.928 13.231
O 1.548 7.326 10.413
O -0.216 2.438 1.230
O 1.464 3.171 9.023
O 3.098 2.653 11.481
O 1.243 1.822 6.218
O -0.692 4.844 8.598
O -2.246 6.713 2.981
O -0.665 4.615 2.958
O -0.390 7.544 8.243
O -2.875 4.587 4.807
O 1.544 4.522 5.864
O 1.805 7.417 6.116
O -0.952 1.949 8.346
O -3.120 7.557 5.116
O -2.381 6.693 10.032
O -0.695 2.040 4.048
O 1.518 4.751 11.503
O 3.233 2.673 4.429
O 3.727 4.779 9.654
O 3.973 1.809 9.345
O -0.612 6.195 5.438
O 3.659 3.227 7.156
As -2.138 6.124 4.671
As -1.580 6.313 8.509
As 2.432 3.053 5.952
As 2.991 3.242 9.790
As -1.100 2.969 2.660
As 1.952 6.397 11.801
Cu -0.239 3.509 9.997
Cu 4.143 1.103 11.107
Cu 0.424 8.914 10.011
Cu 0.660 0.929 7.871
Cu 1.092 5.857 4.464
Cu -3.291 8.263 3.354
Cu 0.192 8.437 6.590
Cu 0.428 0.452 4.450
Na -0.752 3.551 6.256
Na 1.604 5.815 8.205
! Formation energy without anion corrections (eV/atom): -1.01
! Magnetic moment (μB/f.u.): 2.00

---

# 11
! Na5Cu3As4O16 GGA-PBE optimized geometry; values from VASP
&SYSTEM
  ibrav = 0, nat = 28, ntyp = 4
/
ATOMIC_SPECIES
As 74.92 As.upf
O 16.00 O.upf
Na 22.99 Na.upf
Cu 63.55 Cu.upf
CELL_PARAMETERS angstrom
-6.124 -0.039 -0.310
2.502 7.168 -1.548
-0.534 -2.104 -8.403
ATOMIC_POSITIONS angstrom
As -2.207 4.553 -1.843
As -5.520 0.564 -5.738
As -1.950 0.472 -8.418
As 1.363 4.461 -4.523
O -0.036 5.132 -5.578
O 0.036 1.836 -0.645
O -3.782 5.884 -4.487
O -3.851 3.584 -6.073
O -4.193 3.189 -9.616
O -0.306 1.441 -4.188
O -0.375 -0.859 -5.774
O -3.705 -0.174 -1.745
O -2.277 0.877 -6.789
O -1.501 2.264 -8.930
O -1.759 6.581 -2.077
O -1.879 4.148 -3.472
O -2.398 -1.555 -8.184
O -2.656 2.761 -1.331
O -0.451 5.199 -8.516
O -4.120 -0.107 -4.683
Na -1.607 0.495 -2.517
Na 0.622 3.236 -7.469
Na -2.078 2.513 -5.131
Na -4.779 1.789 -2.792
Na -2.549 4.530 -7.744
Cu -1.853 5.671 -4.837
Cu 0.000 0.000 0.000
Cu -2.304 -0.646 -5.425
! Formation energy without anion corrections (eV/atom): -1.04
! Magnetic moment (μB/f.u.): 2.20

---

# 12
! NaCuAs2O8 GGA-PBE optimized geometry; values from VASP
&SYSTEM
  ibrav = 0, nat = 12, ntyp = 4
/
ATOMIC_SPECIES
O 16.00 O.upf
As 74.92 As.upf
Na 22.99 Na.upf
Cu 63.55 Cu.upf
CELL_PARAMETERS angstrom
5.589 0.000 0.000
-2.794 4.840 0.000
0.000 0.000 6.158
ATOMIC_POSITIONS angstrom
O 2.794 1.613 1.080
O 0.000 1.595 1.246
O 1.381 0.798 4.912
O 4.207 0.797 4.912
O 0.000 3.227 5.078
O -1.413 4.043 1.246
O 1.413 4.042 1.246
O 2.795 3.245 4.912
As 2.794 1.613 5.503
As 0.000 3.227 0.655
Na 0.000 0.000 3.079
Cu 0.000 0.000 0.000
! Formation energy without anion corrections (eV/atom): -0.74
! Magnetic moment (μB/f.u.): 4.03

---

# 13
! Na2CuAs2Pd5 GGA-PBE optimized geometry; values from VASP
&SYSTEM
  ibrav = 0, nat = 20, ntyp = 4
/
ATOMIC_SPECIES
Cu 63.55 Cu.upf
As 74.92 As.upf
Pd 106.42 Pd.upf
Na 22.99 Na.upf
CELL_PARAMETERS angstrom
-2.629 1.176 1.191
-5.622 -5.532 -6.947
-0.508 -8.009 6.788
ATOMIC_POSITIONS angstrom
Cu 0.000 0.000 0.000
Cu -3.065 -6.770 -0.080
As -5.048 -7.707 -3.532
As -2.120 -3.100 -1.618
As -1.082 -5.834 3.372
As -4.010 -10.440 1.459
Pd -1.568 -3.417 3.989
Pd -6.335 -11.407 1.358
Pd -4.125 -2.178 -2.878
Pd -5.427 -6.759 -1.228
Pd -6.694 -6.146 -4.629
Pd -2.065 -6.219 5.660
Pd -4.817 -8.054 1.398
Pd -2.424 -0.958 -0.327
Pd -3.942 -4.311 -0.367
Pd -3.331 -5.605 2.259
Na -4.998 -9.961 -1.196
Na -1.132 -3.579 1.037
Na -3.863 -5.090 -3.501
Na -2.267 -8.451 3.341
! ΔH_f (0 K) (eV/atom): -0.32
! Magnetic moment (μB/f.u.): 0.00

---

# 14
! Na2Cu4As3Pd GGA-PBE optimized geometry; values from VASP
&SYSTEM
  ibrav = 0, nat = 10, ntyp = 4
/
ATOMIC_SPECIES
Cu 63.55 Cu.upf
As 74.92 As.upf
Na 22.99 Na.upf
Pd 106.42 Pd.upf
CELL_PARAMETERS angstrom
4.053 0.000 0.000
0.000 4.053 0.000
0.000 0.000 10.560
ATOMIC_POSITIONS angstrom
Cu 0.000 0.000 0.000
Cu 2.026 2.026 0.000
Cu 0.000 2.026 3.742
Cu 2.026 0.000 6.818
As 2.026 0.000 9.161
As 0.000 0.000 5.280
As 0.000 2.026 1.399
Na 0.000 2.026 7.941
Na 2.026 0.000 2.619
Pd 2.026 2.026 5.280
! ΔH_f (0 K) (eV/atom): -0.18
! Magnetic moment (μB/f.u.): 0.00

---

# 15
! Na2CuAs4Pd3 GGA-PBE optimized geometry; values from VASP
&SYSTEM
  ibrav = 0, nat = 10, ntyp = 4
/
ATOMIC_SPECIES
Na 22.99 Na.upf
Pd 106.42 Pd.upf
As 74.92 As.upf
Cu 63.55 Cu.upf
CELL_PARAMETERS angstrom
4.356 0.000 0.000
0.000 4.356 0.000
0.000 0.000 10.188
ATOMIC_POSITIONS angstrom
Na 0.000 2.178 7.555
Na 2.178 0.000 2.633
Pd 2.178 0.000 8.856
Pd 0.000 0.000 5.094
Pd 0.000 2.178 1.332
As 0.000 0.000 0.000
As 0.000 2.178 3.813
As 2.178 2.178 0.000
As 2.178 0.000 6.375
Cu 2.178 2.178 5.094
! ΔH_f (0 K) (eV/atom): -0.33
! Magnetic moment (μB/f.u.): 0.00

---

# 16
! Na2CuAs2Pd GGA-PBE optimized geometry; values from VASP
&SYSTEM
  ibrav = 0, nat = 12, ntyp = 4
/
ATOMIC_SPECIES
Pd 106.42 Pd.upf
Na 22.99 Na.upf
As 74.92 As.upf
Cu 63.55 Cu.upf
CELL_PARAMETERS angstrom
-0.227 -1.391 -5.765
5.740 -1.328 0.095
-4.288 -5.142 4.464
ATOMIC_POSITIONS angstrom
Pd 4.305 -0.996 0.071
Pd 1.435 -0.332 0.024
Na -0.947 -3.911 2.546
Na -0.582 -2.574 -0.846
Na 1.807 -5.288 -0.360
Na 2.172 -3.951 -3.752
As -0.483 -2.367 -3.935
As 1.708 -5.494 2.729
As -1.271 -5.500 -0.093
As 2.497 -2.361 -1.113
Cu 1.322 -1.028 -2.859
Cu 4.192 -1.692 -2.812
! ΔH_f (0 K) (eV/atom): -0.33
! Magnetic moment (μB/f.u.): 0.00

---

# 17
! Na2Cu3As4Pd GGA-PBE optimized geometry; values from VASP
&SYSTEM
  ibrav = 0, nat = 10, ntyp = 4
/
ATOMIC_SPECIES
Cu 63.55 Cu.upf
As 74.92 As.upf
Pd 106.42 Pd.upf
Na 22.99 Na.upf
CELL_PARAMETERS angstrom
-3.976 -1.343 -0.632
0.832 -3.514 2.229
-2.942 4.706 8.517
ATOMIC_POSITIONS angstrom
Cu 0.035 -1.147 2.219
Cu -4.549 3.425 7.098
Cu -1.471 2.353 4.259
As 0.000 0.000 0.000
As -1.572 -2.428 0.799
As -0.658 -0.039 4.225
As -3.856 2.317 5.092
Pd -3.043 -0.075 5.057
Na -1.767 1.735 7.435
Na -2.747 0.543 1.881
! ΔH_f (0 K) (eV/atom): -0.22
! Magnetic moment (μB/f.u.): 0.00

---

# 18
! NaPmCuAs GGA-PBE optimized geometry; values from VASP
&SYSTEM
  ibrav = 0, nat = 4, ntyp = 4
/
ATOMIC_SPECIES
Pm 145.00 Pm.upf
Na 22.99 Na.upf
As 74.92 As.upf
Cu 63.55 Cu.upf
CELL_PARAMETERS angstrom
-1.328 3.692 -3.086
-1.794 -1.062 -4.536
-4.823 0.784 -1.023
ATOMIC_POSITIONS angstrom
Pm -5.959 2.561 -6.484
Na -1.986 0.854 -2.161
As -3.973 1.707 -4.322
Cu 0.000 0.000 0.000
! ΔH_f (0 K) (eV/atom): -0.43
! Magnetic moment (μB/f.u.): 0.00

---

# 19
! Na2PuCuAs2 GGA-PBE optimized geometry; values from VASP
&SYSTEM
  ibrav = 0, nat = 12, ntyp = 4
/
ATOMIC_SPECIES
Pu 244.00 Pu.upf
As 74.92 As.upf
Cu 63.55 Cu.upf
Na 22.99 Na.upf
CELL_PARAMETERS angstrom
-3.346 1.519 -2.262
-0.975 -6.475 -2.907
-5.155 -2.033 6.259
ATOMIC_POSITIONS angstrom
Pu -3.269 -4.333 1.926
Pu -3.347 -7.408 -0.025
As -5.592 -5.524 0.446
As -1.705 -5.209 -0.976
As -3.938 -1.826 0.484
As -4.415 -3.232 4.359
Cu -5.347 -1.647 2.687
Cu -3.948 -4.141 -1.057
Na -6.877 -4.443 3.073
Na -2.144 0.469 -0.629
Na -5.211 -7.226 2.854
Na -1.112 -2.564 -0.077
! ΔH_f (0 K) (eV/atom): -0.52
! Magnetic moment (μB/f.u.): 4.99